DFT (PBE-GGA) results for a relaxed Mn2CuAu4 crystal.

DFT formation energy	0.297	eV per atom
crystal system	monoclinic
DOS at the Fermi energy	5.5	states/eV per cell
total magnetization	1.22	μB per cell
space-group type	C2/m (12)

a b c (Å): 2.845 6.824 6.347
angles (deg): 109.28 102.95 90.00
Atoms (fractional coordinates):
1 Au 0.640 0.349 0.280
2 Cu 0.000 0.000 0.000
3 Mn 0.229 0.093 0.458
4 Mn 0.771 0.907 0.542
5 Au 0.360 0.651 0.720
6 Au 0.086 0.693 0.171
7 Au 0.914 0.307 0.829

DFT (PBE-GGA) results for a relaxed Mn2CuAu6 crystal.

DFT formation energy	0.111	eV per atom
crystal system	monoclinic
DOS at the Fermi energy	2.9	states/eV per cell
total magnetization	8.75	μB per cell
space-group type	C2/m (12)

a b c (Å): 4.320 6.192 7.551
angles (deg): 114.21 107.34 90.00
Atoms (fractional coordinates):
1 Cu 0.000 0.000 0.000
2 Au 0.500 0.244 0.000
3 Au 0.836 0.081 0.673
4 Mn 0.667 0.667 0.333
5 Au 0.836 0.592 0.673
6 Mn 0.333 0.333 0.667
7 Au 0.500 0.756 0.000
8 Au 0.164 0.919 0.327
9 Au 0.164 0.408 0.327

DFT (PBE-GGA) results for a relaxed Mn2Cu5Au12 crystal.

DFT formation energy	0.023	eV per atom
crystal system	monoclinic
DOS at the Fermi energy	5.9	states/eV per cell
total magnetization	8.52	μB per cell
space-group type	C2/m (12)

a b c (Å): 8.049 8.049 7.014
angles (deg): 106.66 104.62 122.02
Atoms (fractional coordinates):
1 Au 0.186 0.916 0.103
2 Au 0.443 0.624 0.445
3 Cu 0.386 0.723 0.109
4 Mn 0.746 0.746 0.000
5 Au 0.179 0.998 0.555
6 Au 0.323 0.813 0.759
7 Mn 0.254 0.254 0.000
8 Au 0.295 0.435 0.730
9 Cu 0.500 0.000 0.500
10 Au 0.705 0.565 0.270
11 Cu 0.902 0.818 0.720
12 Au 0.821 0.002 0.445
13 Cu 0.614 0.277 0.891
14 Au 0.557 0.376 0.555
15 Au 0.677 0.187 0.241
16 Cu 0.098 0.182 0.280
17 Au 0.947 0.436 0.759
18 Au 0.053 0.564 0.241
19 Au 0.814 0.084 0.897

DFT (PBE-GGA) results for a relaxed MnCuAu4 crystal.

DFT formation energy	-0.040	eV per atom
crystal system	monoclinic
DOS at the Fermi energy	5.0	states/eV per cell
total magnetization	8.40	μB per cell
space-group type	C2/m (12)

a b c (Å): 4.869 8.740 4.870
angles (deg): 90.00 74.84 90.00
Atoms (fractional coordinates):
1 Au 0.500 0.839 0.000
2 Au 0.500 0.339 0.500
3 Au 0.000 0.661 0.000
4 Cu 0.500 0.000 0.500
5 Au 0.000 0.339 0.000
6 Au 0.500 0.661 0.500
7 Au 0.000 0.161 0.500
8 Mn 0.000 0.000 0.000
9 Cu 0.000 0.500 0.500
10 Mn 0.500 0.500 0.000
11 Au 0.500 0.161 0.000
12 Au 0.000 0.839 0.500

DFT (PBE-GGA) results for a relaxed MnCuAu2 crystal.

DFT formation energy	0.001	eV per atom
crystal system	orthorhombic
DOS at the Fermi energy	2.2	states/eV per cell
total magnetization	4.26	μB per cell
space-group type	Cmmm (65)

a b c (Å): 2.993 4.643 4.643
angles (deg): 100.52 90.00 90.00
Atoms (fractional coordinates):
1 Au 0.000 0.500 0.000
2 Mn 0.500 0.000 0.000
3 Cu 0.500 0.500 0.500
4 Au 0.000 0.000 0.500

DFT (PBE-GGA) results for a relaxed MnCuAu2 crystal.

DFT formation energy	0.084	eV per atom
crystal system	trigonal
DOS at the Fermi energy	1.3	states/eV per cell
total magnetization	4.06	μB per cell
space-group type	R-3m (166)

a b c (Å): 8.516 8.516 8.516
angles (deg): 20.35 20.35 20.35
Atoms (fractional coordinates):
1 Au 0.501 0.501 0.501
2 Mn 0.750 0.750 0.750
3 Cu 0.250 0.250 0.250
4 Au 0.999 0.999 0.999

DFT (PBE-GGA) results for a relaxed MnCu7Au12 crystal.

DFT formation energy	0.015	eV per atom
crystal system	trigonal
DOS at the Fermi energy	6.5	states/eV per cell
total magnetization	4.18	μB per cell
space-group type	R-3 (148)

a b c (Å): 7.311 7.311 7.311
angles (deg): 106.88 106.88 106.88
Atoms (fractional coordinates):
1 Cu 0.017 0.902 0.331
2 Au 0.616 0.967 0.721
3 Au 0.335 0.636 0.774
4 Au 0.279 0.384 0.033
5 Cu 0.331 0.017 0.902
6 Cu 0.500 0.500 0.500
7 Au 0.226 0.665 0.364
8 Cu 0.902 0.331 0.017
9 Cu 0.098 0.669 0.983
10 Au 0.721 0.616 0.967
11 Au 0.636 0.774 0.335
12 Cu 0.983 0.098 0.669
13 Au 0.384 0.033 0.279
14 Cu 0.669 0.983 0.098
15 Au 0.033 0.279 0.384
16 Au 0.774 0.335 0.636
17 Au 0.364 0.226 0.665
18 Au 0.665 0.364 0.226
19 Au 0.967 0.721 0.616
20 Mn 0.000 0.000 0.000

DFT (PBE-GGA) results for a relaxed MnCu15Au4 crystal.

DFT formation energy	-0.011	eV per atom
crystal system	tetragonal
DOS at the Fermi energy	5.9	states/eV per cell
total magnetization	3.25	μB per cell
space-group type	P4/mmm (123)

a b c (Å): 3.780 3.780 18.675
angles (deg): 90.00 90.00 90.00
Atoms (fractional coordinates):
1 Cu 0.000 0.500 0.094
2 Cu 0.000 0.500 0.906
3 Cu 0.000 0.500 0.703
4 Cu 0.500 0.000 0.297
5 Cu 0.000 0.500 0.500
6 Au 0.000 0.000 0.601
7 Cu 0.500 0.000 0.500
8 Mn 0.000 0.000 0.000
9 Cu 0.500 0.000 0.906
10 Cu 0.500 0.500 0.000
11 Cu 0.500 0.000 0.703
12 Cu 0.500 0.500 0.602
13 Cu 0.500 0.500 0.196
14 Au 0.000 0.000 0.804
15 Cu 0.500 0.500 0.398
16 Au 0.000 0.000 0.196
17 Cu 0.000 0.500 0.297
18 Cu 0.500 0.000 0.094
19 Cu 0.500 0.500 0.804
20 Au 0.000 0.000 0.399

DFT (PBE-GGA) results for a relaxed MnCu2Au crystal.

DFT formation energy	0.173	eV per atom
crystal system	trigonal
DOS at the Fermi energy	2.8	states/eV per cell
total magnetization	3.64	μB per cell
space-group type	R-3m (166)

a b c (Å): 8.645 8.645 8.645
angles (deg): 18.65 18.65 18.65
Atoms (fractional coordinates):
1 Mn 0.250 0.250 0.250
2 Cu 0.504 0.504 0.504
3 Cu 0.996 0.996 0.996
4 Au 0.750 0.750 0.750

DFT (PBE-GGA) results for a relaxed MnCuAu2 crystal.

DFT formation energy	-0.049	eV per atom
crystal system	tetragonal
DOS at the Fermi energy	1.7	states/eV per cell
total magnetization	4.01	μB per cell
space-group type	I4/mmm (139)

a b c (Å): 4.661 4.661 4.192
angles (deg): 63.27 63.27 53.45
Atoms (fractional coordinates):
1 Mn 0.250 0.250 0.250
2 Cu 0.750 0.750 0.750
3 Au 0.000 0.000 0.000
4 Au 0.500 0.500 0.500

DFT (PBE-GGA) results for a relaxed Mn3CuAu crystal.

DFT formation energy	0.826	eV per atom
crystal system	cubic
DOS at the Fermi energy	5.8	states/eV per cell
total magnetization	12.37	μB per cell
space-group type	Pm-3m (221)

a b c (Å): 4.549 4.549 4.549
angles (deg): 90.00 90.00 90.00
Atoms (fractional coordinates):
1 Cu 0.000 0.000 0.000
2 Mn 0.000 0.000 0.500
3 Au 0.500 0.500 0.500
4 Mn 0.500 0.000 0.000
5 Mn 0.000 0.500 0.000

DFT (PBE-GGA) results for a relaxed MnCu2Au crystal.

DFT formation energy	0.065	eV per atom
crystal system	monoclinic
DOS at the Fermi energy	2.0	states/eV per cell
total magnetization	3.85	μB per cell
space-group type	Cm (8)

a b c (Å): 4.699 4.699 4.546
angles (deg): 77.23 77.23 35.66
Atoms (fractional coordinates):
1 Cu 0.253 0.253 0.246
2 Cu 0.995 0.995 0.013
3 Au 0.748 0.748 0.751
4 Mn 0.504 0.504 0.489

DFT (PBE-GGA) results for a relaxed MnCu2Au crystal.

DFT formation energy	0.352	eV per atom
crystal system	tetragonal
DOS at the Fermi energy	4.1	states/eV per cell
total magnetization	8.48	μB per cell
space-group type	I-42d (122)

a b c (Å): 6.952 6.952 5.566
angles (deg): 51.36 51.36 90.00
Atoms (fractional coordinates):
1 Cu 0.875 0.869 0.750
2 Au 0.750 0.250 0.500
3 Cu 0.619 0.125 0.250
4 Mn 0.250 0.750 0.500
5 Mn 0.500 0.500 0.000
6 Cu 0.131 0.625 0.250
7 Au 0.000 0.000 0.000
8 Cu 0.375 0.381 0.750

DFT (PBE-GGA) results for a relaxed MnCu3Au4 crystal.

DFT formation energy	-0.050	eV per atom
crystal system	orthorhombic
DOS at the Fermi energy	4.2	states/eV per cell
total magnetization	8.48	μB per cell
space-group type	Pmma (51)

a b c (Å): 4.634 5.896 9.044
angles (deg): 90.00 90.00 90.00
Atoms (fractional coordinates):
1 Cu 0.000 0.000 0.500
2 Cu 0.000 0.000 0.000
3 Cu 0.392 0.000 0.250
4 Mn 0.000 0.500 0.000
5 Au 0.100 0.754 0.750
6 Au 0.500 0.753 0.500
7 Au 0.100 0.246 0.750
8 Cu 0.608 0.000 0.750
9 Cu 0.391 0.500 0.250
10 Au 0.900 0.754 0.250
11 Mn 0.000 0.500 0.500
12 Au 0.500 0.247 0.500
13 Cu 0.609 0.500 0.750
14 Au 0.900 0.246 0.250
15 Au 0.500 0.247 0.000
16 Au 0.500 0.753 0.000

DFT (PBE-GGA) results for a relaxed MnCu4Au3 crystal.

DFT formation energy	-0.002	eV per atom
crystal system	orthorhombic
DOS at the Fermi energy	5.3	states/eV per cell
total magnetization	8.40	μB per cell
space-group type	Pmma (51)

a b c (Å): 4.629 5.701 8.919
angles (deg): 90.00 90.00 90.00
Atoms (fractional coordinates):
1 Mn 0.000 0.500 0.000
2 Au 0.618 0.000 0.750
3 Mn 0.000 0.500 0.500
4 Cu 0.500 0.257 0.000
5 Cu 0.500 0.257 0.500
6 Cu 0.140 0.257 0.750
7 Cu 0.500 0.743 0.000
8 Au 0.000 0.000 0.500
9 Au 0.357 0.500 0.250
10 Au 0.643 0.500 0.750
11 Cu 0.140 0.743 0.750
12 Cu 0.860 0.257 0.250
13 Au 0.382 0.000 0.250
14 Cu 0.860 0.743 0.250
15 Cu 0.500 0.743 0.500
16 Au 0.000 0.000 0.000

DFT (PBE-GGA) results for a relaxed MnCu3Au3 crystal.

DFT formation energy	0.020	eV per atom
crystal system	hexagonal
DOS at the Fermi energy	5.3	states/eV per cell
total magnetization	8.39	μB per cell
space-group type	P6_3/m (176)

a b c (Å): 4.615 7.311 7.311
angles (deg): 120.00 90.00 90.00
Atoms (fractional coordinates):
1 Au 0.250 0.257 0.045
2 Au 0.750 0.212 0.257
3 Au 0.250 0.788 0.743
4 Au 0.750 0.743 0.955
5 Cu 0.250 0.107 0.624
6 Mn 0.750 0.333 0.667
7 Cu 0.250 0.376 0.483
8 Cu 0.750 0.893 0.376
9 Au 0.250 0.955 0.212
10 Cu 0.750 0.483 0.107
11 Cu 0.750 0.624 0.517
12 Cu 0.250 0.517 0.893
13 Au 0.750 0.045 0.788
14 Mn 0.250 0.667 0.333

DFT (PBE-GGA) results for a relaxed Mn2Cu3Au2 crystal.

DFT formation energy	0.188	eV per atom
crystal system	monoclinic
DOS at the Fermi energy	4.6	states/eV per cell
total magnetization	0.00	μB per cell
space-group type	C2/m (12)

a b c (Å): 3.423 4.751 6.403
angles (deg): 101.04 90.00 111.12
Atoms (fractional coordinates):
1 Cu 0.707 0.415 0.139
2 Cu 0.293 0.585 0.861
3 Au 0.566 0.131 0.719
4 Au 0.434 0.869 0.281
5 Mn 0.822 0.644 0.553
6 Cu 0.000 0.000 0.000
7 Mn 0.178 0.356 0.447

DFT (PBE-GGA) results for a relaxed Mn2CuAu crystal.

DFT formation energy	0.661	eV per atom
crystal system	tetragonal
DOS at the Fermi energy	8.7	states/eV per cell
total magnetization	0.01	μB per cell
space-group type	I-42d (122)

a b c (Å): 3.520 3.520 9.456
angles (deg): 79.27 79.27 90.00
Atoms (fractional coordinates):
1 Au 0.750 0.250 0.500
2 Mn 0.199 0.625 0.250
3 Cu 0.500 0.500 0.000
4 Mn 0.875 0.801 0.750
5 Cu 0.250 0.750 0.500
6 Au 0.000 0.000 0.000
7 Mn 0.375 0.449 0.750
8 Mn 0.551 0.125 0.250

DFT (PBE-GGA) results for a relaxed Mn2CuAu crystal.

DFT formation energy	0.258	eV per atom
crystal system	trigonal
DOS at the Fermi energy	1.4	states/eV per cell
total magnetization	7.97	μB per cell
space-group type	R-3m (166)

a b c (Å): 8.600 8.600 8.600
angles (deg): 19.45 19.45 19.45
Atoms (fractional coordinates):
1 Au 0.250 0.250 0.250
2 Mn 0.495 0.495 0.495
3 Cu 0.750 0.750 0.750
4 Mn 0.005 0.005 0.005

DFT (PBE-GGA) results for a relaxed MnCu2Au crystal.

DFT formation energy	-0.004	eV per atom
crystal system	tetragonal
DOS at the Fermi energy	1.7	states/eV per cell
total magnetization	4.09	μB per cell
space-group type	I-4m2 (119)

a b c (Å): 4.728 4.728 4.728
angles (deg): 132.26 132.26 69.81
Atoms (fractional coordinates):
1 Au 0.750 0.250 0.500
2 Cu 0.250 0.750 0.500
3 Mn 0.500 0.500 0.000
4 Cu 0.000 0.000 0.000